[1]
{"formula": "W3IO", "functional": "GGA+U", "state": "optimized geometry", "cell": [[-0.2163, -3.0175, -3.1702], [3.2201, 2.0400, -2.1614], [2.9642, -2.4363, 2.1167]], "species": ["O", "W", "W", "W", "I"], "frac_coords": [[0.0000, 0.0000, 0.0000], [0.5000, 0.0000, 0.0000], [0.0000, 0.0000, 0.5000], [0.0000, 0.5000, 0.0000], [0.5000, 0.5000, 0.5000]], "density_g_cm3": 13.70, "e_above_lowest_polymorph_ev_per_atom": 0.0000}

[2]
{"formula": "W3IO", "functional": "GGA+U", "state": "optimized geometry", "cell": [[4.9816, 0.0000, 0.0000], [0.0000, 4.9816, 0.0000], [0.0000, 0.0000, 4.9816]], "species": ["W", "W", "W", "O", "I"], "frac_coords": [[0.0000, 0.5000, 0.0000], [0.0000, 0.0000, 0.5000], [0.5000, 0.0000, 0.0000], [0.5000, 0.5000, 0.5000], [0.0000, 0.0000, 0.0000]], "density_g_cm3": 9.33, "e_above_lowest_polymorph_ev_per_atom": 2.2189}

[3]
{"formula": "WI3O", "functional": "GGA+U", "state": "optimized geometry", "cell": [[-4.9890, -1.4038, -2.3379], [2.2024, -4.9487, -1.7283], [-1.6082, -2.4221, 4.8861]], "species": ["I", "I", "I", "W", "O"], "frac_coords": [[0.0000, 0.5000, 0.0000], [0.0000, 0.0000, 0.5000], [0.5000, 0.0000, 0.0000], [0.0000, 0.0000, 0.0000], [0.5000, 0.5000, 0.5000]], "density_g_cm3": 5.24, "e_above_lowest_polymorph_ev_per_atom": 1.5697}

[4]
{"formula": "W2IO8", "functional": "GGA+U", "state": "optimized geometry", "cell": [[-5.5637, 2.0877, -3.8698], [-1.3291, -5.4770, -2.3542], [-3.8835, -4.2873, 1.9603]], "species": ["W", "W", "O", "O", "O", "O", "O", "O", "O", "O", "I"], "frac_coords": [[0.3102, 0.7795, 0.7795], [0.6898, 0.2205, 0.2205], [0.1652, 0.1305, 0.6304], [0.2497, 0.6311, 0.6311], [0.8348, 0.3696, 0.8695], [0.5645, 0.7871, 0.7871], [0.4355, 0.2129, 0.2129], [0.7503, 0.3689, 0.3689], [0.1652, 0.6304, 0.1305], [0.8348, 0.8695, 0.3696], [0.0000, 0.0000, 0.0000]], "density_g_cm3": 5.15}

[5]
{"formula": "WI2O8", "functional": "GGA+U", "state": "optimized geometry", "cell": [[-2.1652, 1.1818, -5.1893], [-6.0059, 1.2416, 2.2691], [-2.3285, 5.8447, 1.7830]], "species": ["O", "O", "O", "O", "O", "O", "O", "O", "W", "I", "I"], "frac_coords": [[0.7980, 0.7095, 0.1489], [0.3677, 0.2920, 0.2920], [0.2020, 0.2905, 0.8511], [0.2082, 0.8566, 0.8566], [0.7918, 0.1434, 0.1434], [0.2020, 0.8511, 0.2905], [0.6323, 0.7080, 0.7080], [0.7980, 0.1489, 0.7095], [0.0000, 0.0000, 0.0000], [0.5613, 0.8598, 0.8598], [0.4387, 0.1402, 0.1402]], "density_g_cm3": 4.76}

[6]
{"formula": "WI3O", "functional": "GGA+U", "state": "optimized geometry", "cell": [[-3.2830, 3.4064, -12.9181], [11.0562, -6.7745, -4.5962], [-2.1087, -3.2277, -0.3152]], "species": ["I", "I", "I", "I", "I", "I", "I", "I", "I", "I", "I", "I", "O", "O", "O", "O", "W", "W", "W", "W"], "frac_coords": [[0.1006, 0.1006, 0.5000], [0.6006, 0.3994, 0.0000], [0.3987, 0.1939, 0.0000], [0.3994, 0.6006, 0.0000], [0.1013, 0.6939, 0.5000], [0.3061, 0.8987, 0.5000], [0.6939, 0.1013, 0.5000], [0.1939, 0.3987, 0.0000], [0.8987, 0.3061, 0.5000], [0.6013, 0.8061, 0.0000], [0.8994, 0.8994, 0.5000], [0.8061, 0.6013, 0.0000], [0.8957, 0.1043, 0.0000], [0.1043, 0.8957, 0.0000], [0.6043, 0.6043, 0.5000], [0.3957, 0.3957, 0.5000], [0.1092, 0.8908, 0.5000], [0.6092, 0.6092, 0.0000], [0.8908, 0.1092, 0.5000], [0.3908, 0.3908, 0.0000]], "density_g_cm3": 5.27, "e_above_lowest_polymorph_ev_per_atom": 0.0000}

[7]
{"formula": "WI3O", "functional": "GGA+U", "state": "optimized geometry", "cell": [[5.0549, 0.0000, 0.0000], [0.0000, 5.0549, 0.0000], [0.0000, 0.0000, 5.0549]], "species": ["O", "I", "I", "I", "W"], "frac_coords": [[0.0000, 0.0000, 0.0000], [0.0000, 0.0000, 0.5000], [0.5000, 0.0000, 0.0000], [0.0000, 0.5000, 0.0000], [0.5000, 0.5000, 0.5000]], "density_g_cm3": 7.46, "e_above_lowest_polymorph_ev_per_atom": 2.0539}

[8]
{"formula": "ZnWI2O", "functional": "GGA+U", "state": "optimized geometry", "cell": [[-1.8113, 0.6793, -5.6284], [-4.9495, -3.0708, 1.2222], [-1.8100, 3.3082, 0.9817]], "species": ["Zn", "W", "I", "I", "O"], "frac_coords": [[0.5000, 0.5000, 0.5000], [0.0000, 0.0000, 0.0000], [0.0000, 0.5000, 0.0000], [0.5000, 0.0000, 0.0000], [0.0000, 0.0000, 0.5000]], "density_g_cm3": 6.24, "e_above_lowest_polymorph_ev_per_atom": 0.0000}

Calculated final energy in order - -4.23, -2.01, -2.48, -6.14, -5.07, -4.05, -2.00, -3.57 eV/atom